(1)
The following is a DFT calculation (PBE-GGA) of a geometry-optimized Sc2Se3O12 structure.

```
Sc2Se3O12
1.0
9.0664 0.0000 -0.0031
0.0000 9.3287 0.0000
-0.1775 0.0000 12.7248
O Se Sc
48 12 8
Direct
0.0702 0.9182 0.6783
0.3734 0.7948 0.1723
0.6389 0.9989 0.2410
0.1801 0.3327 0.9428
0.0706 0.8138 0.1024
0.4411 0.1314 0.5670
0.9294 0.1862 0.8976
0.2841 0.5219 0.2248
0.4294 0.3138 0.3976
0.2159 0.0219 0.2752
0.9063 0.8748 0.9235
0.3498 0.7195 0.8173
0.8734 0.7052 0.6723
0.6411 0.4160 0.9752
0.8589 0.9160 0.5248
0.9337 0.3945 0.6060
0.6502 0.2805 0.1827
0.3199 0.8327 0.5572
0.1411 0.0840 0.4752
0.0937 0.1252 0.0765
0.4298 0.4182 0.8217
0.5663 0.8945 0.8940
0.7841 0.9781 0.7248
0.4337 0.1055 0.1060
0.5937 0.3748 0.5765
0.1502 0.2195 0.6827
0.5589 0.8686 0.4330
0.6266 0.2052 0.8277
0.2209 0.4282 0.5450
0.0589 0.6314 0.9330
0.8498 0.7805 0.3173
0.1389 0.5011 0.7410
0.9298 0.0818 0.3217
0.3611 0.0011 0.7590
0.8611 0.4989 0.2590
0.1266 0.2948 0.3277
0.5706 0.6862 0.6024
0.5702 0.5818 0.1783
0.6801 0.1673 0.4428
0.8199 0.6673 0.0572
0.4063 0.6252 0.4235
0.9411 0.3686 0.0670
0.7791 0.5718 0.4550
0.3589 0.5840 0.0248
0.0663 0.6055 0.3940
0.2791 0.9282 0.9550
0.7159 0.4781 0.7752
0.7209 0.0718 0.0450
0.8896 0.6146 0.3561
0.0348 0.2526 0.9946
0.6104 0.1146 0.1439
0.6048 0.3800 0.8497
0.1048 0.1200 0.3497
0.3896 0.8854 0.8561
0.5348 0.2474 0.4946
0.4652 0.7526 0.5054
0.9652 0.7474 0.0054
0.3952 0.6200 0.1503
0.1104 0.3854 0.6439
0.8952 0.8800 0.6503
0.2470 0.9673 0.1152
0.2510 0.5328 0.8839
0.7470 0.5327 0.6152
0.2490 0.0328 0.6161
0.7510 0.9672 0.3839
0.7530 0.0327 0.8848
0.7490 0.4672 0.1161
0.2530 0.4673 0.3848
```

Summary:
The size of the total moment comes out at 0.000 μB/atom. For the raw formation energy, the calculation gives -25.56 eV/f.u. The calculation puts the density of states at the Fermi level at 0.0 states/eV per cell.


(2)
The following is a DFT calculation (PBE-GGA) of a geometry-optimized TaSbPb4 structure.

```
TaSbPb4
1.0
0.0000 4.4347 4.4347
4.4347 0.0000 4.4347
4.4347 4.4347 0.0000
Pb Sb Ta
4 1 1
Direct
0.3744 0.3744 0.3744
0.8767 0.3744 0.3744
0.3744 0.8767 0.3744
0.3744 0.3744 0.8767
0.7500 0.7500 0.7500
0.0000 0.0000 0.0000
```

Summary:
The size of the total moment comes out at 0.157 μB/atom. For the raw formation energy, the calculation gives 5.11 eV/f.u. The calculation puts the density of states at the Fermi level at 5.0 states/eV per cell.


(3)
The following is a DFT calculation (PBE-GGA) of a geometry-optimized InB3Rh structure.

```
InB3Rh
1.0
-1.6399 1.9986 -3.2890
-2.5783 -3.2248 -0.6740
-2.8573 1.7629 2.4959
Rh B In
1 3 1
Direct
0.0000 0.0000 0.0000
0.5000 0.0000 0.0000
0.0000 0.5000 0.0000
0.0000 0.0000 0.5000
0.5000 0.5000 0.5000
```

Summary:
For the energy above the most stable polymorph in this dataset, the calculation gives 0 meV/atom. The size of the total moment comes out at 0.000 μB/atom. The calculation puts the density of states at the Fermi level at 4.4 states/eV per cell. The calculation puts the formation energy at 5.2 eV per formula unit.


(4)
The following is a DFT calculation (PBE-GGA) of a geometry-optimized Cr3NiCl structure.

```
Cr3NiCl
1.0
-1.0630 -1.7709 -4.1956
-3.3438 -2.6213 1.9536
-3.0916 3.4440 -0.6704
Cr Cl Ni
3 1 1
Direct
0.0000 0.0000 0.5000
0.0000 0.5000 0.0000
0.5000 0.0000 0.0000
0.5000 0.5000 0.5000
0.0000 0.0000 0.0000
```

Summary:
For the energy above the most stable polymorph in this dataset, the calculation gives 53 meV/atom. The size of the total moment comes out at 2.519 μB/atom. For the raw formation energy, the calculation gives 5.33 eV/f.u. The calculation puts the density of states at the Fermi level at 7.0 states/eV per cell.


(5)
The following is a DFT calculation (PBE-GGA) of a geometry-optimized In2Ag2Sn structure.

```
In2Ag2Sn
1.0
6.7032 -0.0210 -0.0026
-3.3489 5.0134 -2.9663
0.0102 -0.0186 7.3785
In Ag Sn
4 4 2
Direct
0.7485 0.4498 0.8387
0.7008 0.4507 0.3381
0.2992 0.5493 0.6619
0.2515 0.5502 0.1613
0.2621 0.9096 0.0310
0.7379 0.0904 0.9690
0.3524 0.0896 0.4683
0.6476 0.9104 0.5317
0.9231 0.0002 0.2499
0.0769 0.9998 0.7501
```

Summary:
For the energy above the most stable polymorph in this dataset, the calculation gives 6 meV/atom. The size of the total moment comes out at 0.000 μB/atom. The calculation puts the density of states at the Fermi level at 3.3 states/eV per cell. The calculation puts the formation energy at 0.3 eV per formula unit.


(6)
The following is a DFT calculation (PBE-GGA) of a geometry-optimized Li8Cd2Rh structure.

```
Li8Cd2Rh
1.0
-0.9737 2.5893 0.5922
3.0296 -1.7309 6.2818
8.7228 3.3937 -1.9518
Rh Li Cd
1 8 2
Direct
0.3295 0.0851 0.0576
0.3130 0.8171 0.8831
0.8119 0.2752 0.5246
0.7655 0.7652 0.1360
0.1233 0.6371 0.4145
0.1387 0.9033 0.5949
0.9014 0.1625 0.8166
0.7627 0.0277 0.3017
0.9213 0.4138 0.9863
0.5278 0.5401 0.7029
0.3996 0.3758 0.2483
```

Summary:
For the energy above the most stable polymorph in this dataset, the calculation gives 0 meV/atom. The size of the total moment comes out at 0.025 μB/atom. The calculation puts the density of states at the Fermi level at 5.9 states/eV per cell. The calculation puts the formation energy at -1.3 eV per formula unit.


(7)
The following is a DFT calculation (PBE-GGA) of a geometry-optimized PmDy2Ga2Ag2 structure.

```
PmDy2Ga2Ag2
1.0
-4.4286 -1.3010 -0.5215
-1.1249 -4.5057 0.1050
-3.0424 -1.4317 8.7208
Ag Dy Pm Ga
2 2 1 2
Direct
0.5970 0.5970 0.2091
0.4030 0.4030 0.7909
0.8735 0.8735 0.3796
0.1265 0.1265 0.6204
0.0000 0.0000 0.0000
0.7442 0.7442 0.7675
0.2558 0.2558 0.2325
```

Summary:
The size of the total moment comes out at 0.000 μB/atom. The calculation puts the density of states at the Fermi level at 4.5 states/eV per cell. The calculation puts the formation energy at -2.6 eV per formula unit.


(8)
The following is a DFT calculation (PBE-GGA) of a geometry-optimized Li3Sb4Pd4 structure.

```
Li3Sb4Pd4
1.0
-0.9144 4.0671 -2.1269
-1.9363 -1.5161 -2.0665
-9.4941 0.8171 10.7927
Pd Li Sb
4 3 4
Direct
0.0927 0.5927 0.1853
0.2668 0.2668 0.5335
0.7332 0.7332 0.4665
0.9073 0.4073 0.8147
0.0000 0.0000 0.0000
0.6442 0.1442 0.2885
0.3558 0.8558 0.7115
0.8140 0.3140 0.6279
0.5513 0.5513 0.1025
0.1860 0.6860 0.3721
0.4487 0.4487 0.8975
```

Summary:
The size of the total moment comes out at 0.000 μB/atom. For the raw formation energy, the calculation gives -4.93 eV/f.u. The calculation puts the density of states at the Fermi level at 5.1 states/eV per cell.


(9)
The following is a DFT calculation (PBE-GGA) of a geometry-optimized CeBeAl3 structure.

```
CeBeAl3
1.0
6.0528 -0.0024 0.0000
3.2251 5.1220 0.0000
-4.6390 -2.5598 2.9264
Al Be Ce
3 1 1
Direct
0.2597 0.7597 0.5000
0.7597 0.2597 0.5000
0.6007 0.6007 0.0000
0.3810 0.3810 0.0000
0.9989 0.9989 0.0000
```

Summary:
The size of the total moment comes out at 0.156 μB/atom. The calculation puts the density of states at the Fermi level at 6.0 states/eV per cell. The calculation puts the formation energy at -1.6 eV per formula unit.


(10)
The following is a DFT calculation (PBE-GGA) of a geometry-optimized Y2As structure.

```
Y2As
1.0
-2.9282 2.3986 6.9186
-0.4190 -0.4787 -7.8607
-2.9749 -4.9606 0.4607
Y As
4 2
Direct
0.5611 0.4389 0.2500
0.1751 0.8249 0.7500
0.4389 0.5611 0.7500
0.8249 0.1751 0.2500
0.8093 0.1907 0.7500
0.1907 0.8093 0.2500
```

Summary:
The size of the total moment comes out at 0.000 μB/atom. The calculation puts the density of states at the Fermi level at 6.5 states/eV per cell. The calculation puts the formation energy at -2.6 eV per formula unit.


(11)
The following is a DFT calculation (PBE-GGA) of a geometry-optimized Y3CdOs structure.

```
Y3CdOs
1.0
5.3860 0.0000 0.0000
0.0000 5.3860 0.0000
0.0000 0.0000 5.3860
Os Y Cd
1 3 1
Direct
0.0000 0.0000 0.0000
0.0000 0.0000 0.5000
0.5000 0.0000 0.0000
0.0000 0.5000 0.0000
0.5000 0.5000 0.5000
```

Summary:
For the energy above the most stable polymorph in this dataset, the calculation gives 247 meV/atom. The size of the total moment comes out at 0.000 μB/atom. The calculation puts the density of states at the Fermi level at 2.7 states/eV per cell. The calculation puts the formation energy at -0.2 eV per formula unit.


(12)
The following is a DFT calculation (PBE-GGA) of a geometry-optimized Y4Ag3Hg structure.

```
Y4Ag3Hg
1.0
-2.5767 -1.8997 1.8987
3.1722 -3.5958 0.7073
3.4177 4.8897 9.5306
Ag Y Hg
3 4 1
Direct
0.5000 0.0000 0.9171
0.0000 0.5000 0.5796
0.0000 0.0000 0.4213
0.0000 0.0000 0.1462
0.5000 0.5000 0.3607
0.5000 0.0000 0.6411
0.0000 0.5000 0.8513
0.5000 0.5000 0.0828
```

Summary:
For the energy above the most stable polymorph in this dataset, the calculation gives 35 meV/atom. The size of the total moment comes out at 0.000 μB/atom. The calculation puts the density of states at the Fermi level at 8.2 states/eV per cell. The calculation puts the formation energy at -2.7 eV per formula unit.


no.,E_tot (eV per atom)
1,-6.363
2,-4.284
3,-4.979
4,-6.233
5,-2.978
6,-2.343
7,-4.050
8,-4.357
9,-4.492
10,-6.730
11,-6.346
12,-4.677